[1]
Rb3BeTl (PBEsol, optimized geometry); energy of formation = 0.78 eV/atom; E = -5.8 eV for the cell shown
1.0
6.873 0.000 0.000
0.000 6.873 0.000
0.000 0.000 6.873
Be Tl Rb
1 1 3
direct
0.500 0.500 0.500
0.000 0.000 0.000
0.000 0.500 0.000
0.000 0.000 0.500
0.500 0.000 0.000

***

[2]
Cr2W (PBEsol, optimized geometry); energy of formation = 0.11 eV/atom; E = -34.0 eV for the cell shown
1.0
-1.849 0.454 1.771
-2.225 -3.131 -1.521
2.729 -0.684 3.025
Cr W
2 1
direct
0.660 0.667 0.333
0.340 0.333 0.667
0.000 0.000 0.000

***

[3]
CaCo4O8 (PBEsol, optimized geometry); E = -93.2 eV for the cell shown
1.0
5.582 0.000 0.000
2.791 4.834 0.000
2.791 1.611 5.392
Ca Co O
1 4 8
direct
0.500 0.500 0.500
0.500 0.500 0.000
0.500 0.000 0.000
0.000 0.500 0.000
0.000 0.000 0.000
0.774 0.774 0.179
0.726 0.226 0.821
0.226 0.226 0.821
0.226 0.726 0.821
0.276 0.276 0.171
0.724 0.724 0.829
0.774 0.274 0.179
0.274 0.774 0.179